First-principles (PBE-GGA) data for crystalline LuNbCoNi at its relaxed geometry, as listed in Alexandria via LeMat-Bulk.

abc: 6.337 6.337 6.337
angles: 90.00 90.00 90.00
Sites, in units of the cell vectors:
1 Lu 0.000 0.000 0.000
2 Lu 0.000 0.500 0.500
3 Lu 0.500 0.000 0.500
4 Lu 0.500 0.500 0.000
5 Nb 0.000 0.000 0.500
6 Nb 0.000 0.500 0.000
7 Nb 0.500 0.000 0.000
8 Nb 0.500 0.500 0.500
9 Co 0.250 0.250 0.250
10 Co 0.250 0.750 0.750
11 Co 0.750 0.250 0.750
12 Co 0.750 0.750 0.250
13 Ni 0.250 0.250 0.750
14 Ni 0.250 0.750 0.250
15 Ni 0.750 0.250 0.250
16 Ni 0.750 0.750 0.750

- SG = No. 216
- total magnetic moment (μB/f.u.) = 0.01
- formation enthalpy at 0 K (eV per atom) = -0.13